{"formula": "Zr2Sn2S", "functional": "PBE", "state": "optimized geometry", "lattice_angstrom": [[3.9350, 0.0000, 0.0000], [0.0000, 3.9350, 0.0000], [1.9675, 1.9675, 7.5324]], "species": ["Zr", "Zr", "Sn", "Sn", "S"], "frac_coords": [[0.5976, 0.5976, 0.8048], [0.4024, 0.4024, 0.1952], [0.2500, 0.7500, 0.5000], [0.7500, 0.2500, 0.5000], [0.0000, 0.0000, 0.0000]], "e_above_lowest_polymorph_ev_per_atom": 0.414, "raw_formation_energy_ev_per_atom": -0.220, "vol_a3_per_atom": 23.3}



{"formula": "ErSi4Os2", "functional": "PBE", "state": "optimized geometry", "lattice_angstrom": [[-2.8001, -0.3283, -2.9288], [-0.6619, -6.4642, 1.3574], [-11.6160, 3.4404, 10.7199]], "species": ["Os", "Os", "Os", "Os", "Os", "Os", "Os", "Os", "Si", "Si", "Si", "Si", "Si", "Si", "Si", "Si", "Si", "Si", "Si", "Si", "Si", "Si", "Si", "Si", "Er", "Er", "Er", "Er"], "frac_coords": [[0.7500, 0.5554, 0.6998], [0.2500, 0.7589, 0.5475], [0.2500, 0.7411, 0.0475], [0.7500, 0.9446, 0.1998], [0.2500, 0.0554, 0.8002], [0.7500, 0.2411, 0.4525], [0.2500, 0.4446, 0.3002], [0.7500, 0.2589, 0.9525], [0.7500, 0.2784, 0.7991], [0.2500, 0.0164, 0.9478], [0.7500, 0.8441, 0.8067], [0.2500, 0.3728, 0.0214], [0.2500, 0.1272, 0.5214], [0.7500, 0.9836, 0.0522], [0.7500, 0.8728, 0.4786], [0.7500, 0.6559, 0.3067], [0.7500, 0.5164, 0.5522], [0.2500, 0.1559, 0.1933], [0.2500, 0.3441, 0.6933], [0.7500, 0.6272, 0.9786], [0.2500, 0.4836, 0.4478], [0.2500, 0.7216, 0.2009], [0.7500, 0.2216, 0.2991], [0.2500, 0.7784, 0.7009], [0.7500, 0.4322, 0.1420], [0.2500, 0.9322, 0.3580], [0.2500, 0.5678, 0.8580], [0.7500, 0.0678, 0.6420]], "raw_formation_energy_ev_per_atom": -0.550, "vol_a3_per_atom": 15.6}



{"formula": "Ca2RuBr", "functional": "PBE", "state": "optimized geometry", "lattice_angstrom": [[-1.1773, 1.4645, 2.8923], [-1.6209, -2.9308, 0.8245], [7.7051, -2.9577, 4.6339]], "species": ["Br", "Ca", "Ca", "Ru"], "frac_coords": [[0.5000, 0.5000, 0.7676], [0.0000, 0.0000, 0.9425], [0.5000, 0.5000, 0.3018], [0.0000, 0.0000, 0.4881]], "e_above_lowest_polymorph_ev_per_atom": 0.608, "raw_formation_energy_ev_per_atom": 0.099, "vol_a3_per_atom": 28.2}



{"formula": "BaAgN", "functional": "PBE", "state": "optimized geometry", "lattice_angstrom": [[5.5085, 0.0000, 0.0000], [-2.6666, 4.7218, 0.0000], [-2.3174, -1.3093, 6.1180]], "species": ["Ag", "Ag", "N", "N", "Ba", "Ba"], "frac_coords": [[0.3845, 0.8766, 0.4521], [0.2700, 0.3194, 0.4606], [0.4342, 0.1471, 0.7243], [0.2203, 0.5402, 0.1884], [0.0354, 0.5664, 0.7828], [0.6189, 0.3578, 0.1299]], "raw_formation_energy_ev_per_atom": 0.020, "vol_a3_per_atom": 26.5}



{"formula": "Pa2TePH2", "functional": "PBE", "state": "optimized geometry", "lattice_angstrom": [[-0.3747, 2.2224, -3.1468], [-0.5947, -3.8169, -0.2444], [-7.7571, 1.0997, 1.7003]], "species": ["H", "H", "Pa", "Pa", "Te", "P"], "frac_coords": [[0.3333, 0.6667, 0.2538], [0.6667, 0.3333, 0.7462], [0.6667, 0.3333, 0.2901], [0.3333, 0.6667, 0.7099], [0.0000, 0.0000, 0.0000], [0.0000, 0.0000, 0.5000]], "dft_energy_ev_per_fu": -39.484, "vol_a3_per_atom": 17.3}



{"formula": "LaNbV2", "functional": "PBE", "state": "optimized geometry", "lattice_angstrom": [[7.4166, 0.0000, 0.0000], [0.0000, 7.4166, 0.0000], [3.7083, 3.7083, 2.8798]], "species": ["V", "V", "V", "V", "Nb", "Nb", "La", "La"], "frac_coords": [[0.1485, 0.6250, 0.2500], [0.3750, 0.3985, 0.7500], [0.6015, 0.1250, 0.2500], [0.8750, 0.8515, 0.7500], [0.2500, 0.7500, 0.5000], [0.5000, 0.5000, 0.0000], [0.0000, 0.0000, 0.0000], [0.7500, 0.2500, 0.5000]], "e_above_lowest_polymorph_ev_per_atom": 0.340, "e_form_ev_per_atom": 0.86, "vol_a3_per_atom": 19.8}



{"formula": "La6MnSb15", "functional": "PBE", "state": "optimized geometry", "lattice_angstrom": [[-5.8314, -9.7051, -6.0714], [8.1325, -6.1691, 7.8013], [-2.7530, -1.2312, 3.0850]], "species": ["La", "La", "La", "La", "La", "La", "Sb", "Sb", "Sb", "Sb", "Sb", "Sb", "Sb", "Sb", "Sb", "Sb", "Sb", "Sb", "Sb", "Sb", "Sb", "Mn"], "frac_coords": [[0.7269, 0.9956, 0.2237], [0.9956, 0.7269, 0.2237], [0.0033, 0.2716, 0.9482], [0.3239, 0.6789, 0.0838], [0.2716, 0.0033, 0.9482], [0.6789, 0.3239, 0.0838], [0.4875, 0.0754, 0.3042], [0.8011, 0.1986, 0.5855], [0.8594, 0.8594, 0.7260], [0.0754, 0.4875, 0.3042], [0.9107, 0.5137, 0.8725], [0.3945, 0.3945, 0.1921], [0.7485, 0.5435, 0.4394], [0.5866, 0.5866, 0.9970], [0.5137, 0.9107, 0.8725], [0.2382, 0.4752, 0.7282], [0.9941, 0.9941, 0.0914], [0.1688, 0.1688, 0.4174], [0.1986, 0.8011, 0.5855], [0.4752, 0.2382, 0.7282], [0.5435, 0.7485, 0.4394], [0.2811, 0.2811, 0.8052]], "raw_formation_energy_ev_per_atom": -0.722, "vol_a3_per_atom": 30.5}



{"formula": "CaCeHo2", "functional": "PBE", "state": "optimized geometry", "lattice_angstrom": [[-1.8059, -4.4463, -3.1442], [-2.2500, -4.6077, 2.5736], [-5.6131, -1.0917, -0.4668]], "species": ["Ca", "Ho", "Ho", "Ce"], "frac_coords": [[0.5000, 0.5000, 0.5000], [0.2500, 0.2500, 0.2500], [0.7500, 0.7500, 0.7500], [0.0000, 0.0000, 0.0000]], "e_above_lowest_polymorph_ev_per_atom": 0.153, "e_form_ev_per_atom": 0.24, "vol_a3_per_atom": 33.4}



{"formula": "CdAs2Rh", "functional": "PBE", "state": "optimized geometry", "lattice_angstrom": [[-1.7583, 2.4666, 3.3559], [-3.8616, 2.1114, 1.0336], [-3.6290, -3.7379, 3.8585]], "species": ["As", "As", "Cd", "Rh"], "frac_coords": [[0.9102, 0.9102, 0.1607], [0.7900, 0.7900, 0.7525], [0.5810, 0.5810, 0.5099], [0.2188, 0.2188, 0.0769]], "e_form_ev_per_atom": -0.13, "vol_a3_per_atom": 20.1}



{"formula": "CdHgSe2", "functional": "PBE", "state": "optimized geometry", "lattice_angstrom": [[4.9742, -0.9275, -0.1777], [-3.2678, 8.4334, 0.5627], [-0.5243, 3.6176, 2.7387]], "species": ["Hg", "Cd", "Se", "Se"], "frac_coords": [[0.5000, 0.0000, 0.5000], [0.5000, 0.5000, 0.0000], [0.0000, 0.5000, 0.5000], [0.0000, 0.0000, 0.0000]], "e_above_lowest_polymorph_ev_per_atom": 0.360, "raw_formation_energy_ev_per_atom": -0.057, "vol_a3_per_atom": 24.5}



{"formula": "MnSBrN2", "functional": "PBE", "state": "optimized geometry", "lattice_angstrom": [[3.6273, 0.0000, 0.0000], [0.0000, 3.6273, 0.0000], [0.0000, 0.0000, 5.3351]], "species": ["Br", "Mn", "N", "N", "S"], "frac_coords": [[0.5000, 0.5000, 0.5000], [0.0000, 0.0000, 0.0000], [0.0000, 0.5000, 0.0000], [0.5000, 0.0000, 0.0000], [0.0000, 0.0000, 0.5000]], "e_above_lowest_polymorph_ev_per_atom": 0.000, "raw_formation_energy_ev_per_atom": 0.813, "vol_a3_per_atom": 14.0}



{"formula": "HfCo3P", "functional": "PBE", "state": "optimized geometry", "lattice_angstrom": [[-2.7989, 2.9362, -1.9821], [1.5864, -1.2198, -4.0472], [-3.1676, -3.2054, -0.2755]], "species": ["Co", "Co", "Co", "P", "Hf"], "frac_coords": [[0.0000, 0.5000, 0.0000], [0.5000, 0.0000, 0.0000], [0.0000, 0.0000, 0.5000], [0.5000, 0.5000, 0.5000], [0.0000, 0.0000, 0.0000]], "e_above_lowest_polymorph_ev_per_atom": 1.774, "e_form_ev_per_atom": 1.61, "vol_a3_per_atom": 18.4}